Record 1
An optimized crystal structure of Li3Ru, computed with PBE.

- Crystal system: cubic

Cell: 3.758 3.758 3.758 Å, 90.00 90.00 90.00°
Fractional coordinates of all 4 atoms:
Li 0.000 0.500 0.500
Li 0.500 0.000 0.500
Li 0.500 0.500 0.000
Ru 0.000 0.000 0.000



Record 2
An optimized crystal structure of LiRu, computed with PBE.

- Crystal system: monoclinic

Cell: 2.660 3.976 5.551 Å, 90.00 107.16 90.00°
Fractional coordinates of all 4 atoms:
Ru 0.688 0.750 0.412
Ru 0.312 0.250 0.588
Li 0.118 0.750 0.897
Li 0.882 0.250 0.103



Record 3
An optimized crystal structure of LiRu, computed with PBE.

- Crystal system: cubic

Cell: 2.900 2.900 2.900 Å, 90.00 90.00 90.00°
Fractional coordinates of all 2 atoms:
Li 0.000 0.000 0.000
Ru 0.500 0.500 0.500



Record 4
An optimized crystal structure of LiRu4, computed with PBE.

- Crystal system: cubic
- Energy above the lowest structure with this stoichiometry: 0.0000 eV per atom

Cell: 4.049 4.049 4.049 Å, 90.00 90.00 90.00°
Fractional coordinates of all 5 atoms:
Ru 0.000 0.000 0.000
Ru 0.500 0.000 0.500
Ru 0.000 0.500 0.500
Ru 0.500 0.500 0.000
Li 0.500 0.500 0.500



Record 5
An optimized crystal structure of Li2Ru, computed with PBE.

- Crystal system: tetragonal

Cell: 4.740 4.740 2.434 Å, 90.00 90.00 90.00°
Fractional coordinates of all 3 atoms:
Li 0.000 0.500 0.500
Li 0.500 0.000 0.500
Ru 0.000 0.000 0.000



Record 6
An optimized crystal structure of Li2Ru, computed with PBE.

- Crystal system: monoclinic

Cell: 5.337 5.337 6.792 Å, 78.05 78.05 26.50°
Fractional coordinates of all 6 atoms:
Li 0.299 0.299 0.649
Li 0.617 0.617 0.998
Li 0.701 0.701 0.351
Li 0.383 0.383 0.002
Ru 0.966 0.966 0.327
Ru 0.034 0.034 0.673



Record 7
An optimized crystal structure of Li2Ru, computed with PBE.

- Crystal system: trigonal

Cell: 2.660 2.660 7.099 Å, 90.00 90.00 120.00°
Fractional coordinates of all 3 atoms:
Li 0.667 0.333 0.687
Li 0.333 0.667 0.313
Ru 0.000 0.000 0.000



Record 8
An optimized crystal structure of LiRu, computed with PBE.

- Crystal system: monoclinic

Cell: 4.593 4.593 7.875 Å, 64.65 64.65 33.25°
Fractional coordinates of all 6 atoms:
Li 0.310 0.310 0.382
Li 0.644 0.644 0.706
Li 0.631 0.631 0.234
Ru 0.987 0.987 0.031
Ru 0.955 0.955 0.581
Ru 0.307 0.307 0.899



Asked for formation energy from the elements across the records above, the calculation gives 0.3230; 0.1192; 0.5580; 1.0302; 0.4261; 0.1590; 0.1188; 0.1932 eV/atom in order.